[1]
VASP calculation (GGA-PBE) on a geometry-optimized Ca3ReB structure.

abc: 5.4069 5.4069 5.4069
angles: 90.00 90.00 90.00
With the nearest neighbours (Å) after each atom.
Element x y z (fractional)
Ca  0.0000  0.0000  0.5000  2 Re 2.70
Ca  0.0000  0.5000  0.0000  2 Re 2.70
Ca  0.5000  0.0000  0.0000  2 Re 2.70
Re  0.0000  0.0000  0.0000  6 Ca 2.70
B  0.5000  0.5000  0.5000  12 Ca 3.82

Output
E above lowest polymorph in eV/atom: 0.432
Mass density in g/cm3: 3.33
M_tot in μB/f.u.: 0.00
ΔH_f (0 K) in eV/atom: 1.52
Total DFT energy (no corrections) in eV/atom: -3.501
Space group: Pm-3m (221)

---

[2]
VASP calculation (GGA-PBE) on a geometry-optimized CaReB2 structure.

abc: 4.1348 4.1348 4.1348
angles: 60.00 60.00 60.00
With the nearest neighbours (Å) after each atom.
Element x y z (fractional)
Ca  0.0000  0.0000  0.0000  8 B 2.53
Re  0.5000  0.5000  0.5000  8 B 2.53
B  0.2500  0.2500  0.2500  4 Re 2.53, 4 Ca 2.53
B  0.7500  0.7500  0.7500  4 Re 2.53, 4 Ca 2.53

Output
E above lowest polymorph in eV/atom: 0.579
Mass density in g/cm3: 8.24
M_tot in μB/f.u.: 0.00
ΔH_f (0 K) in eV/atom: 0.91
Total DFT energy (no corrections) in eV/atom: -6.045
Space group: Fm-3m (225)